5
Lattice="6.335 0.000 0.000 0.000 6.335 0.000 0.000 0.000 5.000" Properties=species:S:1:pos:R:3 comment="K2ZnAgHg | Alexandria via LeMat-Bulk | PBE | optimized geometry" final_energy_ev_per_cell=-6.10 sg="P4/mmm, No. 123" e_above_lowest_polymorph_mev_per_atom=26 formation_energy_ev_per_atom=0.1053 dos_at_fermi_per_ev_atom=0.987 pbc="T T T"
K 0.000 3.167 0.000
K 3.167 0.000 0.000
Zn 0.000 0.000 0.000
Ag 0.000 0.000 2.500
Hg 3.167 3.167 2.500


12
Lattice="8.843 -2.032 0.000 8.843 2.032 0.000 -1.848 0.000 7.918" Properties=species:S:1:pos:R:3 comment="Dy6GeAs3S2 | Alexandria via LeMat-Bulk | PBE | optimized geometry" final_energy_ev_per_cell=-73.74 formation_energy_uncorrected_ev_per_atom=-1.609 sg="C2/m, No. 12" dos_at_fermi_per_ev_atom=0.172 pbc="T T T"
Dy -0.445 0.000 1.971
Dy 5.132 0.000 3.295
Dy 4.215 0.000 7.267
Dy 11.623 0.000 0.651
Dy 10.706 0.000 4.623
Dy 16.282 0.000 5.947
Ge 8.843 0.000 0.000
As 1.436 0.000 6.583
As 7.919 0.000 3.959
As 14.402 0.000 1.336
S 2.361 0.000 2.674
S 13.477 0.000 5.245


no.,magnetization (μB/f.u.)
1,0.00
2,0.00